[1]
MnCrCoP PBE optimized geometry; symmetry = No. 216; DFT formation energy = -239 meV per atom; Fermi-level density of states = 1.52 states/eV per cell
1.0
3.9784 0.0000 0.0000
1.9892 3.4454 0.0000
1.9892 1.1485 3.2483
Cr Mn Co P
1 1 1 1
Cartesian
1.9892 1.1485 0.8121 Cr
3.9784 2.2969 1.6242 Mn
5.9676 3.4454 2.4362 Co
0.0000 0.0000 0.0000 P

=====

[2]
MnCrCoRh PBE optimized geometry; symmetry = No. 216; DFT formation energy = 56 meV per atom; Fermi-level density of states = 3.63 states/eV per cell
1.0
4.1752 0.0000 0.0000
2.0876 3.6158 0.0000
2.0876 1.2053 3.4090
Co Mn Rh Cr
1 1 1 1
Cartesian
4.1752 2.4105 1.7045 Co
6.2628 3.6158 2.5568 Mn
0.0000 0.0000 0.0000 Rh
2.0876 1.2053 0.8523 Cr

=====

[3]
MnCr2CoSe6 PBE optimized geometry; symmetry = No. 146; ΔE_f (raw) = -0.401 eV/atom; Fermi-level density of states = 3.76 states/eV per cell
1.0
6.3338 0.0017 -0.0008
3.1640 5.4862 -0.0007
3.1631 1.8292 5.5514
Mn Cr Co Se
1 2 1 6
Cartesian
9.4953 5.4875 2.9559 Mn
6.3312 3.6590 2.5764 Cr
3.1642 1.8292 5.3806 Cr
3.1649 1.8291 0.1545 Co
5.2568 1.7099 1.3732 Se
5.1818 5.5657 1.3762 Se
8.5549 3.7013 1.3725 Se
7.3277 5.3316 4.2166 Se
7.2792 1.9586 4.2156 Se
4.3823 3.6843 4.2130 Se

=====

[4]
MnCr2CoW PBE optimized geometry; symmetry = No. 123; DFT formation energy = 2123 meV per atom; Fermi-level density of states = 12.83 states/eV per cell
1.0
4.4290 0.0000 0.0000
0.0000 4.3907 0.0000
0.0000 0.0000 4.4290
Cr Mn Co W
2 1 1 1
Cartesian
0.0000 0.0000 2.2145 Cr
2.2145 0.0000 0.0000 Cr
0.0000 2.1953 0.0000 Mn
2.2145 2.1953 2.2145 Co
0.0000 0.0000 0.0000 W

=====

no.,total magnetization (μB per atom)
1,0.751
2,1.758
3,1.004
4,0.000